PBE Re2AsW, relaxed; magnetization = 0.00 μB per atom; electronic total energy = -0.7531 Ry per atom; crystal system = monoclinic; ΔE_f = 379 meV per atom
1.0
4.9253 -0.0042 -0.0093
4.0303 2.8312 -0.0093
0.4799 0.1515 4.5063
As Re W
1 2 1
direct
0.7500 0.7500 0.7500
0.5209 0.5209 0.4814
0.9791 0.9791 0.0186
0.2500 0.2500 0.2500

PBE Re2AsW, relaxed; magnetization = 0.00 μB per atom; electronic total energy = -0.7436 Ry per atom; crystal system = monoclinic; ΔE_f = 507 meV per atom
1.0
-3.8456 2.8331 2.0796
-1.3257 -3.7870 -3.3228
-1.2319 -1.8651 1.7109
Re As W
2 1 1
direct
0.0000 0.0000 0.0000
0.5000 0.5000 0.0000
0.0000 0.5000 0.5000
0.5000 0.0000 0.5000

PBE Re2AsW, relaxed; magnetization = 0.00 μB per atom; electronic total energy = -0.7602 Ry per atom; crystal system = monoclinic; ΔE_f = 282 meV per atom
1.0
4.8628 -0.0014 -0.0069
3.9292 2.8650 -0.0069
1.2066 0.3930 4.4342
Re W As
2 1 1
direct
0.2589 0.2589 0.1810
0.9973 0.9973 0.0494
0.4959 0.4959 0.5523
0.7479 0.7479 0.7173

PBE Re2AsW, relaxed; magnetization = 0.00 μB per atom; electronic total energy = -0.7511 Ry per atom; crystal system = orthorhombic; ΔE_f = 405 meV per atom
1.0
-0.3665 2.7484 -1.1653
-3.7709 0.5405 2.4607
2.4398 1.7479 3.3550
As W Re
1 1 2
direct
0.0000 0.5000 0.5000
0.5000 0.0000 0.5000
0.5000 0.5000 0.0000
0.0000 0.0000 0.0000